# 1
This record from the Alexandria database describes a relaxed structure of KAc3Te4. The functional is PBE.

Fermi-level density of states ... 3.2 states/eV/f.u.
Distance to the lowest polymorph of the same formula ... 0.5 kJ/mol of atoms
Formation energy (no corrections) ... -11.82 eV/f.u.

```
8
Lattice="4.732 0.000 0.000 0.000 8.305 -0.036 0.000 -2.652 7.871" Properties=species:S:1:pos:R:3 pbc="T T T"
K 2.366 0.000 0.000
Ac 0.000 -1.326 3.935
Ac 2.366 2.826 3.917
Ac 0.000 4.153 -0.018
Te 0.000 1.452 2.012
Te 2.366 5.550 1.952
Te 0.000 4.201 5.823
Te 2.366 0.103 5.882
```


# 2
This record from the Alexandria database describes a relaxed structure of KAc2Te3. The functional is PBE.

Fermi-level density of states ... 2.6 states/eV/f.u.
Distance to the lowest polymorph of the same formula ... 1.7 kJ/mol of atoms
Formation energy (no corrections) ... -8.80 eV/f.u.

```
6
Lattice="4.767 0.000 0.000 0.000 6.767 0.000 -2.384 -3.384 7.286" Properties=species:S:1:pos:R:3 pbc="T T T"
K 1.192 1.692 3.643
Ac 3.575 5.076 1.272
Ac -1.192 -1.692 6.014
Te 3.575 1.692 1.095
Te -1.192 1.692 6.191
Te 1.192 -1.692 3.643
```


Q: The lowest Fermi-level density of states belongs to which entry?
A: KAc2Te3


Repeat the first record exactly.
This record from the Alexandria database describes a relaxed structure of KAc3Te4. The functional is PBE.

Fermi-level density of states ... 3.2 states/eV/f.u.
Distance to the lowest polymorph of the same formula ... 0.5 kJ/mol of atoms
Formation energy (no corrections) ... -11.82 eV/f.u.

```
8
Lattice="4.732 0.000 0.000 0.000 8.305 -0.036 0.000 -2.652 7.871" Properties=species:S:1:pos:R:3 pbc="T T T"
K 2.366 0.000 0.000
Ac 0.000 -1.326 3.935
Ac 2.366 2.826 3.917
Ac 0.000 4.153 -0.018
Te 0.000 1.452 2.012
Te 2.366 5.550 1.952
Te 0.000 4.201 5.823
Te 2.366 0.103 5.882
```


Repeat the first record exactly.
This record from the Alexandria database describes a relaxed structure of KAc3Te4. The functional is PBE.

Fermi-level density of states ... 3.2 states/eV/f.u.
Distance to the lowest polymorph of the same formula ... 0.5 kJ/mol of atoms
Formation energy (no corrections) ... -11.82 eV/f.u.

```
8
Lattice="4.732 0.000 0.000 0.000 8.305 -0.036 0.000 -2.652 7.871" Properties=species:S:1:pos:R:3 pbc="T T T"
K 2.366 0.000 0.000
Ac 0.000 -1.326 3.935
Ac 2.366 2.826 3.917
Ac 0.000 4.153 -0.018
Te 0.000 1.452 2.012
Te 2.366 5.550 1.952
Te 0.000 4.201 5.823
Te 2.366 0.103 5.882
```


What did the second record say?
This record from the Alexandria database describes a relaxed structure of KAc2Te3. The functional is PBE.

Fermi-level density of states ... 2.6 states/eV/f.u.
Distance to the lowest polymorph of the same formula ... 1.7 kJ/mol of atoms
Formation energy (no corrections) ... -8.80 eV/f.u.

```
6
Lattice="4.767 0.000 0.000 0.000 6.767 0.000 -2.384 -3.384 7.286" Properties=species:S:1:pos:R:3 pbc="T T T"
K 1.192 1.692 3.643
Ac 3.575 5.076 1.272
Ac -1.192 -1.692 6.014
Te 3.575 1.692 1.095
Te -1.192 1.692 6.191
Te 1.192 -1.692 3.643
```